Compound: ZnGa3Ag2
Source: the Alexandria database
Functional: PBE-GGA
Structure: optimized geometry

Summary:
* offset from the most stable computed form: 0.063 eV per atom
* V: 18.0 Å³/atom
* formation energy: 65.2 meV/atom
* theoretical density: 7.54 g/cm3
* electronic total energy: -15.7 eV for the cell shown
* total magnetization: 0.0 μB/cell

Cell lengths 2.8309, 4.3071, 8.8606 Å; angles 90.00, 90.00, 90.00 degrees
Closest atoms and distances in Å follow each position.
Space group Pmm2 (No. 25)
Inequivalent atoms, fractional coordinates:
Zn: 0.0000 0.0000 0.0000 [1 per cell]  3 Ga 2.68-2.76, 2 Zn 2.83, 4 Ag 2.84
Ga: 0.0000 0.0000 0.3119 [1 per cell]  4 Ga 2.69-2.83, 1 Zn 2.76
Ga: 0.0000 0.5000 0.4945 [1 per cell]  5 Ga 2.69-2.89
Ga: 0.0000 0.5000 0.8204 [1 per cell]  2 Zn 2.68, 3 Ga 2.83-2.89, 4 Ag 2.86
Ag: 0.5000 0.0000 0.6799 [1 per cell]  2 Ag 2.83, 8 Ga 2.86-3.06, 2 Zn 3.17
Ag: 0.5000 0.5000 0.1336 [1 per cell]  2 Ag 2.83, 4 Zn 2.84, 6 Ga 3.02-3.12